Arrangement 1

Computed, not measured: a relaxed structure of CuWAu at the PBE-GGA level of DFT. Values from VASP.

Quantum ESPRESSO input file:
```
&SYSTEM
  ibrav = 0, nat = 3, ntyp = 3
/
ATOMIC_SPECIES
Cu 63.55 Cu.upf
W 183.84 W.upf
Au 196.97 Au.upf
CELL_PARAMETERS angstrom
0.0000 3.0248 3.0248
3.0248 0.0000 3.0248
3.0248 3.0248 0.0000
ATOMIC_POSITIONS crystal
Cu 0.0000 0.0000 0.0000
W 0.2500 0.2500 0.2500
Au 0.5000 0.5000 0.5000
```

Computed properties:
Its density of states at the Fermi level is 0.11 states/eV per atom. The density comes out at 13.33 Mg/m³. The calculation puts the total moment at 0.00 μB/atom.

Arrangement 2

Computed, not measured: a relaxed structure of CuWAu at the PBE-GGA level of DFT. Values from VASP.

Quantum ESPRESSO input file:
```
&SYSTEM
  ibrav = 0, nat = 3, ntyp = 3
/
ATOMIC_SPECIES
Cu 63.55 Cu.upf
W 183.84 W.upf
Au 196.97 Au.upf
CELL_PARAMETERS angstrom
2.8109 0.0000 0.0000
-1.4054 2.4343 0.0000
0.0000 0.0000 6.8257
ATOMIC_POSITIONS crystal
Cu 0.0000 0.0000 0.0000
W 0.6667 0.3333 0.3166
Au 0.3333 0.6667 0.6710
```

Computed properties:
Its density of states at the Fermi level is 0.67 states/eV per atom. The density comes out at 15.80 Mg/m³. The calculation puts the total moment at 0.00 μB/atom.

Which of them is most stable? Easy: arrangement 2.

Arrangement 1

Computed, not measured: a relaxed structure of CuWAu at the PBE-GGA level of DFT. Values from VASP.

Quantum ESPRESSO input file:
```
&SYSTEM
  ibrav = 0, nat = 3, ntyp = 3
/
ATOMIC_SPECIES
Cu 63.55 Cu.upf
W 183.84 W.upf
Au 196.97 Au.upf
CELL_PARAMETERS angstrom
-1.3621 1.9943 4.2356
1.3621 -1.9943 4.2356
1.3621 1.9943 -4.2356
ATOMIC_POSITIONS crystal
Cu 0.0000 0.0000 0.0000
W 0.6554 0.6554 0.0000
Au 0.3320 0.3320 0.0000
```

Computed properties:
Its density of states at the Fermi level is 0.82 states/eV per atom. The density comes out at 16.03 Mg/m³. The calculation puts the total moment at 0.00 μB/atom.

Arrangement 2

Computed, not measured: a relaxed structure of CuWAu at the PBE-GGA level of DFT. Values from VASP.

Quantum ESPRESSO input file:
```
&SYSTEM
  ibrav = 0, nat = 3, ntyp = 3
/
ATOMIC_SPECIES
Cu 63.55 Cu.upf
W 183.84 W.upf
Au 196.97 Au.upf
CELL_PARAMETERS angstrom
-1.4166 1.4166 5.7040
1.4166 -1.4166 5.7040
1.4166 1.4166 -5.7040
ATOMIC_POSITIONS crystal
Cu 0.0000 0.0000 0.0000
W 0.3478 0.3478 0.0000
Au 0.6661 0.6661 0.0000
```

Computed properties:
Its density of states at the Fermi level is 0.72 states/eV per atom. The density comes out at 16.11 Mg/m³. The calculation puts the total moment at 0.00 μB/atom.

Arrangement 3

Computed, not measured: a relaxed structure of CuWAu at the PBE-GGA level of DFT. Values from VASP.

Quantum ESPRESSO input file:
```
&SYSTEM
  ibrav = 0, nat = 3, ntyp = 3
/
ATOMIC_SPECIES
Cu 63.55 Cu.upf
W 183.84 W.upf
Au 196.97 Au.upf
CELL_PARAMETERS angstrom
0.0000 2.9315 2.9315
2.9315 0.0000 2.9315
2.9315 2.9315 0.0000
ATOMIC_POSITIONS crystal
Cu 0.0000 0.0000 0.0000
W 0.2500 0.2500 0.2500
Au 0.7500 0.7500 0.7500
```

Computed properties:
Its density of states at the Fermi level is 0.17 states/eV per atom. The density comes out at 14.65 Mg/m³. The calculation puts the total moment at 0.00 μB/atom.

Which of them is most stable? Easy: arrangement 2.

Arrangement 1

Computed, not measured: a relaxed structure of CuWAu2 at the PBE-GGA level of DFT. Values from VASP.

Quantum ESPRESSO input file:
```
&SYSTEM
  ibrav = 0, nat = 4, ntyp = 3
/
ATOMIC_SPECIES
Cu 63.55 Cu.upf
W 183.84 W.upf
Au 196.97 Au.upf
CELL_PARAMETERS angstrom
4.6363 -1.3849 0.0000
4.6363 1.3849 0.0000
-0.7425 0.0000 5.0315
ATOMIC_POSITIONS crystal
Cu 0.0000 0.0000 0.0000
W 0.5000 0.5000 0.5000
Au 0.2499 0.2499 0.7507
Au 0.7501 0.7501 0.2493
```

Computed properties:
Its density of states at the Fermi level is 0.69 states/eV per atom. The density comes out at 16.48 Mg/m³. The calculation puts the total moment at 0.00 μB/atom.

Arrangement 2

Computed, not measured: a relaxed structure of CuWAu2 at the PBE-GGA level of DFT. Values from VASP.

Quantum ESPRESSO input file:
```
&SYSTEM
  ibrav = 0, nat = 8, ntyp = 3
/
ATOMIC_SPECIES
Cu 63.55 Cu.upf
W 183.84 W.upf
Au 196.97 Au.upf
CELL_PARAMETERS angstrom
-1.9240 1.9240 9.3642
1.9240 -1.9240 9.3642
1.9240 1.9240 -9.3642
ATOMIC_POSITIONS crystal
Cu 0.0000 0.0000 0.0000
Cu 0.7500 0.2500 0.5000
W 0.2500 0.7500 0.5000
W 0.5000 0.5000 0.0000
Au 0.1210 0.6250 0.9960
Au 0.3750 0.3710 0.4960
Au 0.6290 0.1250 0.0040
Au 0.8750 0.8790 0.5040
```

Computed properties:
Its density of states at the Fermi level is 1.23 states/eV per atom. The density comes out at 15.36 Mg/m³. The calculation puts the total moment at 0.00 μB/atom.

Which of them is most stable? Easy: arrangement 1.

Arrangement 1

Computed, not measured: a relaxed structure of CuWAu2 at the PBE-GGA level of DFT. Values from VASP.

Quantum ESPRESSO input file:
```
&SYSTEM
  ibrav = 0, nat = 4, ntyp = 3
/
ATOMIC_SPECIES
Cu 63.55 Cu.upf
W 183.84 W.upf
Au 196.97 Au.upf
CELL_PARAMETERS angstrom
1.4433 0.8333 8.9380
-1.4433 0.8333 8.9380
0.0000 -1.6665 8.9380
ATOMIC_POSITIONS crystal
Cu 0.0000 0.0000 0.0000
W 0.5000 0.5000 0.5000
Au 0.2536 0.2536 0.2536
Au 0.7464 0.7464 0.7464
```

Computed properties:
Its density of states at the Fermi level is 0.41 states/eV per atom. The density comes out at 16.51 Mg/m³. The calculation puts the total moment at 0.00 μB/atom.

Arrangement 2

Computed, not measured: a relaxed structure of CuWAu2 at the PBE-GGA level of DFT. Values from VASP.

Quantum ESPRESSO input file:
```
&SYSTEM
  ibrav = 0, nat = 4, ntyp = 3
/
ATOMIC_SPECIES
Cu 63.55 Cu.upf
W 183.84 W.upf
Au 196.97 Au.upf
CELL_PARAMETERS angstrom
3.1109 -3.8489 0.0000
3.1109 3.8489 0.0000
0.0000 0.0000 2.7299
ATOMIC_POSITIONS crystal
Cu 0.0000 0.0000 0.0000
W 0.5000 0.5000 0.0000
Au 0.0000 0.5000 0.5000
Au 0.5000 0.0000 0.5000
```

Computed properties:
Its density of states at the Fermi level is 0.55 states/eV per atom. The density comes out at 16.29 Mg/m³. The calculation puts the total moment at 0.00 μB/atom.

Which of them is most stable? Easy: arrangement 1.

Arrangement 1

Computed, not measured: a relaxed structure of CuWAu2 at the PBE-GGA level of DFT. Values from VASP.

Quantum ESPRESSO input file:
```
&SYSTEM
  ibrav = 0, nat = 4, ntyp = 3
/
ATOMIC_SPECIES
Cu 63.55 Cu.upf
W 183.84 W.upf
Au 196.97 Au.upf
CELL_PARAMETERS angstrom
2.7475 0.0000 0.0000
0.0000 4.8992 0.0000
0.0000 0.0000 4.9004
ATOMIC_POSITIONS crystal
Cu 0.0000 0.0000 0.0000
W 0.5000 0.0000 0.5000
Au 0.0000 0.5000 0.5000
Au 0.5000 0.5000 0.0000
```

Computed properties:
Its density of states at the Fermi level is 0.59 states/eV per atom. The density comes out at 16.14 Mg/m³. The calculation puts the total moment at 0.00 μB/atom.

Arrangement 2

Computed, not measured: a relaxed structure of CuWAu2 at the PBE-GGA level of DFT. Values from VASP.

Quantum ESPRESSO input file:
```
&SYSTEM
  ibrav = 0, nat = 4, ntyp = 3
/
ATOMIC_SPECIES
Cu 63.55 Cu.upf
W 183.84 W.upf
Au 196.97 Au.upf
CELL_PARAMETERS angstrom
0.0000 3.1774 3.1774
3.1774 0.0000 3.1774
3.1774 3.1774 0.0000
ATOMIC_POSITIONS crystal
Cu 0.0000 0.0000 0.0000
W 0.2500 0.2500 0.2500
Au 0.5000 0.5000 0.5000
Au 0.7500 0.7500 0.7500
```

Computed properties:
Its density of states at the Fermi level is 0.94 states/eV per atom. The density comes out at 16.60 Mg/m³. The calculation puts the total moment at 0.00 μB/atom.

Which of them is most stable? Easy: arrangement 1.

Arrangement 1

Computed, not measured: a relaxed structure of YCu2Au2 at the PBE-GGA level of DFT. Values from VASP.

Quantum ESPRESSO input file:
```
&SYSTEM
  ibrav = 0, nat = 5, ntyp = 3
/
ATOMIC_SPECIES
Y 88.91 Y.upf
Cu 63.55 Cu.upf
Au 196.97 Au.upf
CELL_PARAMETERS angstrom
-1.9058 1.9058 6.4686
1.9058 -1.9058 6.4686
1.9058 1.9058 -6.4686
ATOMIC_POSITIONS crystal
Y 0.0000 0.0000 0.0000
Cu 0.2500 0.7500 0.5000
Cu 0.7500 0.2500 0.5000
Au 0.3905 0.3905 0.0000
Au 0.6095 0.6095 0.0000
```

Computed properties:
Its density of states at the Fermi level is 0.44 states/eV per atom. The density comes out at 10.78 Mg/m³. The calculation puts the total moment at 0.00 μB/atom.

Arrangement 2

Computed, not measured: a relaxed structure of YCu2Au2 at the PBE-GGA level of DFT. Values from VASP.

Quantum ESPRESSO input file:
```
&SYSTEM
  ibrav = 0, nat = 10, ntyp = 3
/
ATOMIC_SPECIES
Y 88.91 Y.upf
Cu 63.55 Cu.upf
Au 196.97 Au.upf
CELL_PARAMETERS angstrom
7.4426 0.0000 0.0000
0.0000 7.4426 0.0000
0.0000 0.0000 3.2958
ATOMIC_POSITIONS crystal
Y 0.0000 0.0000 0.0000
Y 0.5000 0.5000 0.0000
Cu 0.1652 0.3348 0.5000
Cu 0.3348 0.8348 0.5000
Cu 0.6652 0.1652 0.5000
Cu 0.8348 0.6652 0.5000
Au 0.1323 0.6323 0.0000
Au 0.3677 0.1323 0.0000
Au 0.6323 0.8677 0.0000
Au 0.8677 0.3677 0.0000
```

Computed properties:
Its density of states at the Fermi level is 0.56 states/eV per atom. The density comes out at 11.10 Mg/m³. The calculation puts the total moment at 0.00 μB/atom.

Which of them is most stable? Easy: arrangement 1.